# TaMo4

Crystalline TaMo4 at its relaxed geometry (GGA-PBE, Alexandria via LeMat-Bulk).

Output
* distance to the lowest polymorph of the same formula: 4.77 eV/f.u.
* space group: I4/mmm (139)
* crystal system: tetragonal

abc: 6.1393 6.1393 6.1393
angles: 140.54 140.54 57.03
Closest atoms and distances in Å follow each position.
Fractional positions:
Ta 0.0000 0.0000 0.0000  16 Mo 3.18-3.40
Mo 0.2500 0.7500 0.5000  4 Mo 2.54
Mo 0.3857 0.3857 0.0000  5 Mo 2.47-2.54
Mo 0.6143 0.6143 0.0000  5 Mo 2.47-2.54
Mo 0.7500 0.2500 0.5000  4 Mo 2.54

=====

# Ta3Mo

Crystalline Ta3Mo at its relaxed geometry (GGA-PBE, Alexandria via LeMat-Bulk).

Output
* distance to the lowest polymorph of the same formula: 0.13 eV/f.u.
* space group: I4/mmm (139)
* crystal system: tetragonal

abc: 7.2982 7.2982 7.2982
angles: 142.94 142.94 53.41
Closest atoms and distances in Å follow each position.
Fractional positions:
Ta 0.0000 0.5000 0.5000  4 Ta 2.82, 4 Mo 2.85
Ta 0.1226 0.1226 0.0000  8 Ta 2.82-2.85
Ta 0.2500 0.7500 0.5000  4 Mo 2.82, 4 Ta 2.85
Ta 0.5000 0.0000 0.5000  4 Ta 2.82, 4 Mo 2.85
Ta 0.7500 0.2500 0.5000  4 Mo 2.82, 4 Ta 2.85
Ta 0.8774 0.8774 0.0000  8 Ta 2.82-2.85
Mo 0.3730 0.3730 0.0000  8 Ta 2.82-2.85
Mo 0.6270 0.6270 0.0000  8 Ta 2.82-2.85

=====

# Ta3Mo5

Crystalline Ta3Mo5 at its relaxed geometry (GGA-PBE, Alexandria via LeMat-Bulk).

Output
* distance to the lowest polymorph of the same formula: 0.66 eV/f.u.
* space group: R-3m (166)
* crystal system: trigonal

abc: 7.8067 7.8067 7.8067
angles: 34.09 34.09 34.09
Closest atoms and distances in Å follow each position.
Fractional positions:
Ta 0.0000 0.0000 0.0000  2 Mo 2.78, 6 Ta 2.81
Ta 0.3764 0.3764 0.3764  5 Mo 2.72-2.83, 3 Ta 2.81
Ta 0.6236 0.6236 0.6236  5 Mo 2.72-2.83, 3 Ta 2.81
Mo 0.1261 0.1261 0.1261  7 Mo 2.68-2.79, 1 Ta 2.78
Mo 0.2478 0.2478 0.2478  4 Mo 2.68-2.79, 4 Ta 2.80-2.83
Mo 0.5000 0.5000 0.5000  2 Ta 2.72, 6 Mo 2.79
Mo 0.7522 0.7522 0.7522  4 Mo 2.68-2.79, 4 Ta 2.80-2.83
Mo 0.8739 0.8739 0.8739  7 Mo 2.68-2.79, 1 Ta 2.78

=====

# TaMo7

Crystalline TaMo7 at its relaxed geometry (GGA-PBE, Alexandria via LeMat-Bulk).

Output
* distance to the lowest polymorph of the same formula: 0.21 eV/f.u.
* space group: I4/mmm (139)
* crystal system: tetragonal

abc: 7.1165 7.1165 7.1165
angles: 143.16 143.16 53.08
Closest atoms and distances in Å follow each position.
Fractional positions:
Ta 0.0000 0.0000 0.0000  8 Mo 2.77
Mo 0.1264 0.6264 0.5000  6 Mo 2.74-2.77, 2 Ta 2.77
Mo 0.2491 0.2491 0.0000  8 Mo 2.74-2.75
Mo 0.3736 0.8736 0.5000  6 Mo 2.74-2.77, 2 Ta 2.77
Mo 0.5000 0.5000 0.0000  8 Mo 2.77
Mo 0.6264 0.1264 0.5000  6 Mo 2.74-2.77, 2 Ta 2.77
Mo 0.7509 0.7509 0.0000  8 Mo 2.74-2.75
Mo 0.8736 0.3736 0.5000  6 Mo 2.74-2.77, 2 Ta 2.77

=====

# Ta3Mo2

Crystalline Ta3Mo2 at its relaxed geometry (GGA-PBE, Alexandria via LeMat-Bulk).

Output
* distance to the lowest polymorph of the same formula: 0.07 eV/f.u.
* space group: P4/mmm (123)
* crystal system: tetragonal

abc: 3.2379 3.2379 16.3338
angles: 90.00 90.00 90.00
Closest atoms and distances in Å follow each position.
Fractional positions:
Ta 0.0000 0.0000 0.0000  8 Mo 2.80
Ta 0.0000 0.0000 0.1972  8 Mo 2.80-2.81
Ta 0.0000 0.0000 0.3934  4 Mo 2.77, 4 Ta 2.88
Ta 0.0000 0.0000 0.6066  4 Mo 2.77, 4 Ta 2.88
Ta 0.0000 0.0000 0.8028  8 Mo 2.80-2.81
Ta 0.5000 0.5000 0.5000  8 Ta 2.88
Mo 0.5000 0.5000 0.0988  8 Ta 2.80
Mo 0.5000 0.5000 0.2974  8 Ta 2.77-2.81
Mo 0.5000 0.5000 0.7026  8 Ta 2.77-2.81
Mo 0.5000 0.5000 0.9012  8 Ta 2.80

=====

# Ta3Mo5

Crystalline Ta3Mo5 at its relaxed geometry (GGA-PBE, Alexandria via LeMat-Bulk).

Output
* distance to the lowest polymorph of the same formula: 0.00 eV/f.u.
* space group: Immm (71)
* crystal system: orthorhombic

abc: 9.5201 9.5201 9.5201
angles: 160.51 152.50 33.93
Closest atoms and distances in Å follow each position.
Fractional positions:
Ta 0.0000 0.0000 0.0000  8 Mo 2.78-2.84
Ta 0.3748 0.8748 0.5000  8 Mo 2.78-2.82
Ta 0.6252 0.1252 0.5000  8 Mo 2.78-2.82
Mo 0.1282 0.6282 0.5000  2 Mo 2.71, 6 Ta 2.78-2.84
Mo 0.2479 0.2479 0.0000  6 Mo 2.71-2.78, 2 Ta 2.82
Mo 0.5000 0.5000 0.0000  8 Ta 2.78-2.79
Mo 0.7521 0.7521 0.0000  6 Mo 2.71-2.78, 2 Ta 2.82
Mo 0.8718 0.3718 0.5000  2 Mo 2.71, 6 Ta 2.78-2.84

=====

# TaMo4

Crystalline TaMo4 at its relaxed geometry (GGA-PBE, Alexandria via LeMat-Bulk).

Output
* distance to the lowest polymorph of the same formula: 0.07 eV/f.u.
* space group: R-3m (166)
* crystal system: trigonal

abc: 5.2917 5.2917 5.2917
angles: 50.49 50.49 50.49
Closest atoms and distances in Å follow each position.
Fractional positions:
Ta 0.0000 0.0000 0.0000  8 Mo 2.77-2.79
Mo 0.2020 0.2020 0.2020  7 Mo 2.75-2.78, 1 Ta 2.79
Mo 0.4014 0.4014 0.4014  5 Mo 2.72-2.76, 3 Ta 2.77
Mo 0.5986 0.5986 0.5986  5 Mo 2.72-2.76, 3 Ta 2.77
Mo 0.7980 0.7980 0.7980  7 Mo 2.75-2.78, 1 Ta 2.79

=====

# Ta2Mo

Crystalline Ta2Mo at its relaxed geometry (GGA-PBE, Alexandria via LeMat-Bulk).

Output
* distance to the lowest polymorph of the same formula: 1.82 eV/f.u.
* space group: I4_1/amd (141)
* crystal system: tetragonal

abc: 11.1088 11.1088 11.1088
angles: 163.38 163.38 23.59
Closest atoms and distances in Å follow each position.
Fractional positions:
Ta 0.3036 0.5536 0.7500  4 Mo 2.75, 2 Ta 2.83
Ta 0.4464 0.6964 0.7500  4 Mo 2.75, 2 Ta 2.83
Ta 0.5536 0.3036 0.2500  4 Mo 2.75, 2 Ta 2.83
Ta 0.6964 0.4464 0.2500  4 Mo 2.75, 2 Ta 2.83
Mo 0.1250 0.8750 0.2500  8 Ta 2.75
Mo 0.8750 0.1250 0.7500  8 Ta 2.75

=====

# Ta2Mo

Crystalline Ta2Mo at its relaxed geometry (GGA-PBE, Alexandria via LeMat-Bulk).

Output
* distance to the lowest polymorph of the same formula: 1.09 eV/f.u.
* space group: P-3m1 (164)
* crystal system: trigonal

abc: 3.0907 3.0907 6.4729
angles: 90.00 90.00 120.00
Closest atoms and distances in Å follow each position.
Fractional positions:
Ta 0.3333 0.6667 0.3223  3 Mo 2.75, 3 Ta 2.91
Ta 0.6667 0.3333 0.6777  3 Mo 2.75, 3 Ta 2.91
Mo 0.0000 0.0000 0.0000  6 Ta 2.75

=====

# TaMo2

Crystalline TaMo2 at its relaxed geometry (GGA-PBE, Alexandria via LeMat-Bulk).

Output
* space group: P4/mmm (123)
* crystal system: tetragonal

abc: 3.2037 3.2037 9.6597
angles: 90.00 90.00 90.00
Closest atoms and distances in Å follow each position.
Fractional positions:
Ta 0.0000 0.0000 0.1676  8 Mo 2.78-2.80
Ta 0.0000 0.0000 0.8324  8 Mo 2.78-2.80
Mo 0.0000 0.0000 0.5000  8 Mo 2.75
Mo 0.5000 0.5000 0.0000  8 Ta 2.78
Mo 0.5000 0.5000 0.3386  4 Mo 2.75, 4 Ta 2.80
Mo 0.5000 0.5000 0.6614  4 Mo 2.75, 4 Ta 2.80

=====

# Ta7Mo3

Crystalline Ta7Mo3 at its relaxed geometry (GGA-PBE, Alexandria via LeMat-Bulk).

Output
* space group: P6_3/mmc (194)
* crystal system: hexagonal

abc: 8.7627 8.7627 5.5249
angles: 90.00 90.00 120.00
Closest atoms and distances in Å follow each position.
Fractional positions:
Ta 0.0000 0.5000 0.0000  4 Mo 2.63, 4 Ta 2.76-2.88
Ta 0.0000 0.5000 0.5000  4 Mo 2.63, 4 Ta 2.76-2.88
Ta 0.1237 0.2474 0.2500  4 Mo 2.91-3.13, 7 Ta 3.18-3.25
Ta 0.1237 0.8763 0.2500  4 Mo 2.91-3.13, 7 Ta 3.18-3.25
Ta 0.2474 0.1237 0.7500  4 Mo 2.91-3.13, 7 Ta 3.18-3.25
Ta 0.3333 0.6667 0.2500  9 Ta 2.88-3.18
Ta 0.5000 0.0000 0.0000  4 Mo 2.63, 4 Ta 2.76-2.88
Ta 0.5000 0.0000 0.5000  4 Mo 2.63, 4 Ta 2.76-2.88
Ta 0.5000 0.5000 0.0000  4 Mo 2.63, 4 Ta 2.76-2.88
Ta 0.5000 0.5000 0.5000  4 Mo 2.63, 4 Ta 2.76-2.88
Ta 0.6667 0.3333 0.7500  9 Ta 2.88-3.18
Ta 0.7526 0.8763 0.2500  4 Mo 2.91-3.13, 7 Ta 3.18-3.25
Ta 0.8763 0.1237 0.7500  4 Mo 2.91-3.13, 7 Ta 3.18-3.25
Ta 0.8763 0.7526 0.7500  4 Mo 2.91-3.13, 7 Ta 3.18-3.25
Mo 0.2211 0.4422 0.7500  6 Ta 2.63-2.91
Mo 0.2211 0.7789 0.7500  6 Ta 2.63-2.91
Mo 0.4422 0.2211 0.2500  6 Ta 2.63-2.91
Mo 0.5578 0.7789 0.7500  6 Ta 2.63-2.91
Mo 0.7789 0.2211 0.2500  6 Ta 2.63-2.91
Mo 0.7789 0.5578 0.2500  6 Ta 2.63-2.91

=====

# Ta3Mo4

Crystalline Ta3Mo4 at its relaxed geometry (GGA-PBE, Alexandria via LeMat-Bulk).

Output
* space group: R3m (160)
* crystal system: trigonal

abc: 7.0489 7.0489 7.0489
angles: 37.65 37.65 37.65
Closest atoms and distances in Å follow each position.
Fractional positions:
Ta 0.0000 0.0000 0.0000  7 Mo 2.79-2.80, 1 Ta 2.90
Ta 0.1478 0.1478 0.1478  4 Mo 2.70-2.76, 4 Ta 2.83-2.90
Ta 0.4268 0.4268 0.4268  5 Mo 2.77-2.88, 3 Ta 2.83
Mo 0.2856 0.2856 0.2856  5 Ta 2.70-2.79, 3 Mo 2.77
Mo 0.5736 0.5736 0.5736  7 Mo 2.77-2.80, 1 Ta 2.88
Mo 0.7158 0.7158 0.7158  6 Ta 2.77-2.80, 2 Mo 2.78-2.79
Mo 0.8574 0.8574 0.8574  4 Ta 2.76-2.80, 4 Mo 2.78-2.80

=====

Number 1: D(E_F) 7.72 states/eV per cell, energy of formation 0.828 eV per atom. Number 2: D(E_F) 9.33 states/eV per cell, energy of formation -0.080 eV per atom. Number 3: D(E_F) 3.00 states/eV per cell, energy of formation -0.109 eV per atom. Number 4: D(E_F) 3.94 states/eV per cell, energy of formation -0.080 eV per atom. Number 5: D(E_F) 9.70 states/eV per cell, energy of formation -0.162 eV per atom. Number 6: D(E_F) 6.27 states/eV per cell, energy of formation -0.192 eV per atom. Number 7: D(E_F) 2.73 states/eV per cell, energy of formation -0.110 eV per atom. Number 8: D(E_F) 6.20 states/eV per cell, energy of formation 0.450 eV per atom. Number 9: D(E_F) 3.00 states/eV per cell, energy of formation 0.207 eV per atom. Number 10: D(E_F) 2.82 states/eV per cell, energy of formation -0.166 eV per atom. Number 11: D(E_F) 11.07 states/eV per cell, energy of formation 0.156 eV per atom. Number 12: D(E_F) 4.44 states/eV per cell, energy of formation -0.146 eV per atom.